A) # Al3BiF (PBE, optimized geometry)
data_Al3BiF
_chemical_formula_sum 'Al3 Bi1 F1'
_cell_length_a 4.694
_cell_length_b 4.694
_cell_length_c 4.694
_cell_angle_alpha 90.00
_cell_angle_beta 90.00
_cell_angle_gamma 90.00
_space_group_name_H-M_alt 'P 1'
_space_group_IT_number 1
_space_group_name_Hall 'P 1'
loop_
_atom_site_label
_atom_site_fract_x
_atom_site_fract_y
_atom_site_fract_z
_atom_site_occupancy
Al1 0.000 0.000 0.500 1
Al2 0.000 0.500 0.000 1
Al3 0.500 0.000 0.000 1
Bi1 0.500 0.500 0.500 1
F1 0.000 0.000 0.000 1
# Density of states at the Fermi level, states/eV per cell: 2.43
# Space group: No. 221



B) # Al3BiF (PBE, optimized geometry)
data_Al3BiF
_chemical_formula_sum 'Al3 Bi1 F1'
_cell_length_a 5.779
_cell_length_b 5.779
_cell_length_c 5.779
_cell_angle_alpha 90.00
_cell_angle_beta 90.00
_cell_angle_gamma 90.00
_space_group_name_H-M_alt 'P 1'
_space_group_IT_number 1
_space_group_name_Hall 'P 1'
loop_
_atom_site_label
_atom_site_fract_x
_atom_site_fract_y
_atom_site_fract_z
_atom_site_occupancy
Al1 0.000 0.000 0.500 1
Al2 0.000 0.500 0.000 1
Al3 0.500 0.000 0.000 1
Bi1 0.000 0.000 0.000 1
F1 0.500 0.500 0.500 1
# Density of states at the Fermi level, states/eV per cell: 2.99
# Space group: No. 221



Which one sits at the top of the stability order? A) does.



A) # AlBi2F (PBE, optimized geometry)
data_AlBi2F
_chemical_formula_sum 'Al1 Bi2 F1'
_cell_length_a 4.969
_cell_length_b 4.969
_cell_length_c 4.969
_cell_angle_alpha 60.00
_cell_angle_beta 60.00
_cell_angle_gamma 60.00
_space_group_name_H-M_alt 'P 1'
_space_group_IT_number 1
_space_group_name_Hall 'P 1'
loop_
_atom_site_label
_atom_site_fract_x
_atom_site_fract_y
_atom_site_fract_z
_atom_site_occupancy
Al1 0.000 0.000 0.000 1
Bi1 0.250 0.250 0.250 1
Bi2 0.750 0.750 0.750 1
F1 0.500 0.500 0.500 1
# Density of states at the Fermi level, states/eV per cell: 1.65
# Space group: No. 225



B) # AlBi2F (PBE, optimized geometry)
data_AlBi2F
_chemical_formula_sum 'Al2 Bi4 F2'
_cell_length_a 9.006
_cell_length_b 9.006
_cell_length_c 9.006
_cell_angle_alpha 147.17
_cell_angle_beta 147.17
_cell_angle_gamma 47.11
_space_group_name_H-M_alt 'P 1'
_space_group_IT_number 1
_space_group_name_Hall 'P 1'
loop_
_atom_site_label
_atom_site_fract_x
_atom_site_fract_y
_atom_site_fract_z
_atom_site_occupancy
Al1 0.000 0.000 0.000 1
Al2 0.750 0.250 0.500 1
Bi1 0.175 0.625 0.050 1
Bi2 0.375 0.425 0.550 1
Bi3 0.575 0.125 0.950 1
Bi4 0.875 0.825 0.450 1
F1 0.250 0.750 0.500 1
F2 0.500 0.500 0.000 1
# Density of states at the Fermi level, states/eV per cell: 1.40
# Space group: No. 122



Which one sits at the top of the stability order? A) does.



A) # AlBiN2F (PBE, optimized geometry)
data_AlBiN2F
_chemical_formula_sum 'Al1 Bi1 N2 F1'
_cell_length_a 4.368
_cell_length_b 4.368
_cell_length_c 4.363
_cell_angle_alpha 90.00
_cell_angle_beta 90.00
_cell_angle_gamma 90.00
_space_group_name_H-M_alt 'P 1'
_space_group_IT_number 1
_space_group_name_Hall 'P 1'
loop_
_atom_site_label
_atom_site_fract_x
_atom_site_fract_y
_atom_site_fract_z
_atom_site_occupancy
Al1 0.000 0.000 0.000 1
Bi1 0.500 0.500 0.500 1
N1 0.000 0.500 0.500 1
N2 0.500 0.000 0.500 1
F1 0.500 0.500 0.000 1
# Density of states at the Fermi level, states/eV per cell: 2.56
# Space group: No. 123



B) # AlBiN2F (PBE, optimized geometry)
data_AlBiN2F
_chemical_formula_sum 'Al1 Bi1 N2 F1'
_cell_length_a 3.957
_cell_length_b 3.957
_cell_length_c 3.731
_cell_angle_alpha 90.00
_cell_angle_beta 90.00
_cell_angle_gamma 90.00
_space_group_name_H-M_alt 'P 1'
_space_group_IT_number 1
_space_group_name_Hall 'P 1'
loop_
_atom_site_label
_atom_site_fract_x
_atom_site_fract_y
_atom_site_fract_z
_atom_site_occupancy
Al1 0.000 0.000 0.000 1
Bi1 0.500 0.500 0.500 1
N1 0.000 0.500 0.000 1
N2 0.500 0.000 0.000 1
F1 0.000 0.000 0.500 1
# Density of states at the Fermi level, states/eV per cell: 2.17
# Space group: No. 123



Which one sits at the top of the stability order? B) does.



A) # AlBiOF2 (PBE, optimized geometry)
data_AlBiOF2
_chemical_formula_sum 'Al1 Bi1 O1 F2'
_cell_length_a 4.460
_cell_length_b 4.460
_cell_length_c 3.464
_cell_angle_alpha 90.00
_cell_angle_beta 90.00
_cell_angle_gamma 90.00
_space_group_name_H-M_alt 'P 1'
_space_group_IT_number 1
_space_group_name_Hall 'P 1'
loop_
_atom_site_label
_atom_site_fract_x
_atom_site_fract_y
_atom_site_fract_z
_atom_site_occupancy
Al1 0.000 0.000 0.000 1
Bi1 0.500 0.500 0.500 1
O1 0.000 0.000 0.500 1
F1 0.000 0.500 0.000 1
F2 0.500 0.000 0.000 1
# Density of states at the Fermi level, states/eV per cell: 0.72
# Space group: No. 123



B) # AlBiOF2 (PBE, optimized geometry)
data_AlBiOF2
_chemical_formula_sum 'Al1 Bi1 O1 F2'
_cell_length_a 4.651
_cell_length_b 4.651
_cell_length_c 4.517
_cell_angle_alpha 90.00
_cell_angle_beta 90.00
_cell_angle_gamma 90.00
_space_group_name_H-M_alt 'P 1'
_space_group_IT_number 1
_space_group_name_Hall 'P 1'
loop_
_atom_site_label
_atom_site_fract_x
_atom_site_fract_y
_atom_site_fract_z
_atom_site_occupancy
Al1 0.000 0.000 0.000 1
Bi1 0.500 0.500 0.500 1
O1 0.500 0.500 0.000 1
F1 0.000 0.500 0.500 1
F2 0.500 0.000 0.500 1
# Density of states at the Fermi level, states/eV per cell: 0.00
# Space group: No. 123



Which one sits at the top of the stability order? A) does.